w) Computed, not measured: an optimized crystal structure of Rb3Zn4 at the PBE level of DFT.

Output
Crystal system: monoclinic

Cell: 11.012 4.758 11.018 Å, 90.00 119.98 90.00°
Space group Pm (No. 6)
Asymmetric unit:
Rb  0.000  0.000  0.000 x1
Rb  0.083  0.500  0.410 x1
Rb  0.263  0.000  0.756 x1
Rb  0.346  0.500  0.166 x1
Rb  0.589  0.500  0.673 x1
Rb  0.756  0.000  0.493 x1
Zn  0.006  0.500  0.750 x1
Zn  0.339  0.000  0.416 x1
Zn  0.518  0.500  0.958 x1
Zn  0.548  0.000  0.113 x1
Zn  0.643  0.000  0.929 x1
Zn  0.703  0.500  0.237 x1
Zn  0.798  0.500  0.053 x1
Zn  0.827  0.000  0.208 x1

***

x) Computed, not measured: an optimized crystal structure of Rb3Zn4 at the PBE level of DFT.

Output
Crystal system: monoclinic

Cell: 10.323 5.625 10.330 Å, 90.00 119.90 90.00°
Space group Pm (No. 6)
Asymmetric unit:
Rb  0.000  0.000  0.000 x1
Rb  0.061  0.500  0.305 x1
Rb  0.244  0.500  0.939 x1
Rb  0.366  0.000  0.549 x1
Rb  0.549  0.000  0.183 x1
Rb  0.610  0.500  0.488 x1
Zn  0.132  0.000  0.705 x1
Zn  0.478  0.500  0.783 x1
Zn  0.638  0.000  0.911 x1
Zn  0.671  0.500  0.071 x1
Zn  0.766  0.500  0.878 x1
Zn  0.845  0.000  0.610 x1
Zn  0.939  0.000  0.417 x1
Zn  0.971  0.500  0.577 x1

***

Short version: w), x), most stable first.

***

w) Computed, not measured: an optimized crystal structure of RbZrZn at the PBE level of DFT.

Output
Crystal system: cubic

Cell: 7.306 7.306 7.306 Å, 90.00 90.00 90.00°
Space group F-43m (No. 216)
Asymmetric unit:
Rb  0.000  0.000  0.000 x4
Zr  0.000  0.000  0.500 x4
Zn  0.250  0.250  0.250 x4

***

x) Computed, not measured: an optimized crystal structure of RbZrZn at the PBE level of DFT.

Output
Crystal system: cubic

Cell: 7.058 7.058 7.058 Å, 90.00 90.00 90.00°
Space group F-43m (No. 216)
Asymmetric unit:
Rb  0.000  0.000  0.000 x4
Zr  0.250  0.250  0.250 x4
Zn  0.250  0.250  0.750 x4

***

Short version: w), x), most stable first.

***

w) Computed, not measured: an optimized crystal structure of RbZr at the PBE level of DFT.

Output
Crystal system: cubic

Cell: 7.626 7.626 7.626 Å, 90.00 90.00 90.00°
Space group Fm-3m (No. 225)
Asymmetric unit:
Rb  0.000  0.000  0.000 x4
Zr  0.000  0.000  0.500 x4

***

x) Computed, not measured: an optimized crystal structure of RbZr at the PBE level of DFT.

Output
Crystal system: orthorhombic

Cell: 3.342 4.712 10.965 Å, 90.00 90.00 90.00°
Space group Pmmn (No. 59, origin choice 2)
Asymmetric unit:
Rb  0.250  0.250  0.185 x2
Zr  0.250  0.750  0.470 x2

***

Short version: x), w), most stable first.

***

w) Computed, not measured: an optimized crystal structure of RbZr at the PBE level of DFT.

Output
Crystal system: monoclinic

Cell: 9.365 4.986 13.662 Å, 90.00 107.31 90.00°
Space group Pm (No. 6)
Asymmetric unit:
Rb  0.000  0.000  0.000 x1
Rb  0.060  0.000  0.493 x1
Rb  0.193  0.500  0.787 x1
Rb  0.253  0.500  0.279 x1
Rb  0.544  0.000  0.993 x1
Rb  0.709  0.500  0.286 x1
Zr  0.425  0.500  0.590 x1
Zr  0.519  0.000  0.687 x1
Zr  0.563  0.000  0.487 x1
Zr  0.690  0.500  0.791 x1
Zr  0.734  0.500  0.592 x1
Zr  0.828  0.000  0.689 x1

***

x) Computed, not measured: an optimized crystal structure of RbZr at the PBE level of DFT.

Output
Crystal system: monoclinic

Cell: 5.834 5.147 17.465 Å, 90.00 90.05 90.00°
Space group Pm (No. 6)
Asymmetric unit:
Rb  0.000  0.000  0.000 x1
Rb  0.001  0.500  0.255 x1
Rb  0.006  0.500  0.775 x1
Rb  0.500  0.000  0.163 x1
Rb  0.501  0.500  0.908 x1
Rb  0.506  0.500  0.387 x1
Zr  0.044  0.000  0.455 x1
Zr  0.075  0.000  0.623 x1
Zr  0.454  0.500  0.622 x1
Zr  0.547  0.000  0.707 x1
Zr  0.575  0.000  0.540 x1
Zr  0.954  0.500  0.541 x1

***

Short version: x), w), most stable first.